[1]
This record from Alexandria describes a geometry-optimized Gd2MgMn structure. The functional is PBE. Values from VASP.

Computed properties:
final energy = -38.64 eV per cell
crystal system = cubic
space group = No. 225

Structure (Quantum ESPRESSO input):
```
&SYSTEM
  ibrav = 0, nat = 4, ntyp = 3
/
ATOMIC_SPECIES
Gd 157.25 Gd.upf
Mg 24.30 Mg.upf
Mn 54.94 Mn.upf
CELL_PARAMETERS angstrom
-4.993 0.493 -1.448
-3.536 -3.501 1.585
-3.617 1.350 3.516
ATOMIC_POSITIONS crystal
Gd 0.750 0.750 0.750
Mg 0.500 0.500 0.500
Mn 0.000 0.000 0.000
Gd 0.250 0.250 0.250
```

---

[2]
This record from Alexandria describes a geometry-optimized PrGdMgMn structure. The functional is PBE. Values from VASP.

Computed properties:
final energy = -29.08 eV per cell
crystal system = cubic
space group = No. 216

Structure (Quantum ESPRESSO input):
```
&SYSTEM
  ibrav = 0, nat = 4, ntyp = 4
/
ATOMIC_SPECIES
Mn 54.94 Mn.upf
Gd 157.25 Gd.upf
Mg 24.30 Mg.upf
Pr 140.91 Pr.upf
CELL_PARAMETERS angstrom
-4.114 -2.655 2.086
0.854 -4.389 2.887
-0.822 0.071 5.258
ATOMIC_POSITIONS crystal
Mn 0.500 0.500 0.500
Gd 0.250 0.250 0.250
Mg 0.000 0.000 0.000
Pr 0.750 0.750 0.750
```

---

[3]
This record from Alexandria describes a geometry-optimized TbGdMgMn structure. The functional is PBE. Values from VASP.

Computed properties:
final energy = -29.01 eV per cell
crystal system = cubic
space group = No. 216

Structure (Quantum ESPRESSO input):
```
&SYSTEM
  ibrav = 0, nat = 4, ntyp = 4
/
ATOMIC_SPECIES
Mg 24.30 Mg.upf
Tb 158.93 Tb.upf
Mn 54.94 Mn.upf
Gd 157.25 Gd.upf
CELL_PARAMETERS angstrom
5.217 0.000 0.000
2.608 4.518 0.000
2.608 1.506 4.259
ATOMIC_POSITIONS crystal
Mg 0.750 0.750 0.750
Tb 0.500 0.500 0.500
Mn 0.250 0.250 0.250
Gd 0.000 0.000 0.000
```

---

[4]
This record from Alexandria describes a geometry-optimized GdThMgMn structure. The functional is PBE. Values from VASP.

Computed properties:
final energy = -31.48 eV per cell
crystal system = cubic
space group = No. 216

Structure (Quantum ESPRESSO input):
```
&SYSTEM
  ibrav = 0, nat = 4, ntyp = 4
/
ATOMIC_SPECIES
Mn 54.94 Mn.upf
Mg 24.30 Mg.upf
Gd 157.25 Gd.upf
Th 232.04 Th.upf
CELL_PARAMETERS angstrom
-4.462 -0.870 2.604
-3.747 -2.969 -2.143
-1.009 -4.756 1.951
ATOMIC_POSITIONS crystal
Mn 0.500 0.500 0.500
Mg 0.000 0.000 0.000
Gd 0.750 0.750 0.750
Th 0.250 0.250 0.250
```

---

[5]
This record from Alexandria describes a geometry-optimized GdYMgMn structure. The functional is PBE. Values from VASP.

Computed properties:
final energy = -30.87 eV per cell
crystal system = cubic
space group = No. 216

Structure (Quantum ESPRESSO input):
```
&SYSTEM
  ibrav = 0, nat = 4, ntyp = 4
/
ATOMIC_SPECIES
Mg 24.30 Mg.upf
Y 88.91 Y.upf
Mn 54.94 Mn.upf
Gd 157.25 Gd.upf
CELL_PARAMETERS angstrom
5.219 0.000 0.000
2.609 4.519 0.000
2.609 1.506 4.261
ATOMIC_POSITIONS crystal
Mg 0.750 0.750 0.750
Y 0.500 0.500 0.500
Mn 0.250 0.250 0.250
Gd 0.000 0.000 0.000
```

---

[6]
This record from Alexandria describes a geometry-optimized GdMgZrMn structure. The functional is PBE. Values from VASP.

Computed properties:
final energy = -32.67 eV per cell
crystal system = cubic
space group = No. 216

Structure (Quantum ESPRESSO input):
```
&SYSTEM
  ibrav = 0, nat = 4, ntyp = 4
/
ATOMIC_SPECIES
Zr 91.22 Zr.upf
Gd 157.25 Gd.upf
Mg 24.30 Mg.upf
Mn 54.94 Mn.upf
CELL_PARAMETERS angstrom
-0.069 4.451 -2.242
-2.885 0.732 -3.998
-4.041 2.899 0.339
ATOMIC_POSITIONS crystal
Zr 0.250 0.250 0.250
Gd 0.750 0.750 0.750
Mg 0.000 0.000 0.000
Mn 0.500 0.500 0.500
```

---

[7]
This record from Alexandria describes a geometry-optimized Gd3MgN structure. The functional is PBE. Values from VASP.

Computed properties:
raw formation energy = -0.676 eV per atom
final energy = -55.54 eV per cell
crystal system = cubic
space group = No. 221

Structure (Quantum ESPRESSO input):
```
&SYSTEM
  ibrav = 0, nat = 5, ntyp = 3
/
ATOMIC_SPECIES
Mg 24.30 Mg.upf
Gd 157.25 Gd.upf
N 14.01 N.upf
CELL_PARAMETERS angstrom
4.936 0.000 0.000
0.000 4.936 0.000
0.000 0.000 4.936
ATOMIC_POSITIONS crystal
Mg 0.500 0.500 0.500
Gd 0.000 0.000 0.500
Gd 0.500 0.000 0.000
N 0.000 0.000 0.000
Gd 0.000 0.500 0.000
```

---

[8]
This record from Alexandria describes a geometry-optimized NaGdMg2 structure. The functional is PBE. Values from VASP.

Computed properties:
final energy = -18.47 eV per cell
crystal system = tetragonal
space group = No. 123

Structure (Quantum ESPRESSO input):
```
&SYSTEM
  ibrav = 0, nat = 4, ntyp = 3
/
ATOMIC_SPECIES
Na 22.99 Na.upf
Gd 157.25 Gd.upf
Mg 24.30 Mg.upf
CELL_PARAMETERS angstrom
3.400 0.000 0.000
0.000 3.400 0.000
0.000 0.000 9.899
ATOMIC_POSITIONS crystal
Na 0.500 0.500 0.000
Gd 0.500 0.500 0.500
Mg 0.000 0.000 0.259
Mg 0.000 0.000 0.741
```

---

[9]
This record from Alexandria describes a geometry-optimized NaGdMg structure. The functional is PBE. Values from VASP.

Computed properties:
final energy = -16.54 eV per cell
crystal system = trigonal
space group = No. 156

Structure (Quantum ESPRESSO input):
```
&SYSTEM
  ibrav = 0, nat = 3, ntyp = 3
/
ATOMIC_SPECIES
Mg 24.30 Mg.upf
Gd 157.25 Gd.upf
Na 22.99 Na.upf
CELL_PARAMETERS angstrom
3.289 0.000 0.000
0.000 5.551 0.000
0.000 -2.775 4.807
ATOMIC_POSITIONS crystal
Mg 0.829 0.667 0.333
Gd 0.332 0.333 0.667
Na 0.839 0.000 0.000
```

---

[10]
This record from Alexandria describes a geometry-optimized NaGdMg2 structure. The functional is PBE. Values from VASP.

Computed properties:
final energy = -18.12 eV per cell
crystal system = cubic
space group = No. 225

Structure (Quantum ESPRESSO input):
```
&SYSTEM
  ibrav = 0, nat = 4, ntyp = 3
/
ATOMIC_SPECIES
Mg 24.30 Mg.upf
Na 22.99 Na.upf
Gd 157.25 Gd.upf
CELL_PARAMETERS angstrom
5.417 0.000 0.000
2.708 4.691 0.000
2.708 1.564 4.423
ATOMIC_POSITIONS crystal
Mg 0.750 0.750 0.750
Na 0.500 0.500 0.500
Mg 0.250 0.250 0.250
Gd 0.000 0.000 0.000
```

---

[11]
This record from Alexandria describes a geometry-optimized NaGdMg2 structure. The functional is PBE. Values from VASP.

Computed properties:
final energy = -18.32 eV per cell
crystal system = tetragonal
space group = No. 123

Structure (Quantum ESPRESSO input):
```
&SYSTEM
  ibrav = 0, nat = 4, ntyp = 3
/
ATOMIC_SPECIES
Na 22.99 Na.upf
Mg 24.30 Mg.upf
Gd 157.25 Gd.upf
CELL_PARAMETERS angstrom
3.597 0.000 0.000
0.000 5.626 0.000
0.000 0.000 5.626
ATOMIC_POSITIONS crystal
Na 0.500 0.000 0.000
Mg 0.000 0.000 0.500
Mg 0.000 0.500 0.000
Gd 0.500 0.500 0.500
```

---

[12]
This record from Alexandria describes a geometry-optimized NaGdMg structure. The functional is PBE. Values from VASP.

Computed properties:
final energy = -16.66 eV per cell
crystal system = tetragonal
space group = No. 107

Structure (Quantum ESPRESSO input):
```
&SYSTEM
  ibrav = 0, nat = 3, ntyp = 3
/
ATOMIC_SPECIES
Na 22.99 Na.upf
Mg 24.30 Mg.upf
Gd 157.25 Gd.upf
CELL_PARAMETERS angstrom
3.376 0.000 0.000
0.000 3.376 0.000
-1.688 -1.688 7.969
ATOMIC_POSITIONS crystal
Na 0.991 0.991 0.983
Mg 0.328 0.328 0.655
Gd 0.681 0.681 0.362
```

---

[13]
This record from Alexandria describes a geometry-optimized NaGdMg4 structure. The functional is PBE. Values from VASP.

Computed properties:
final energy = -21.54 eV per cell
crystal system = cubic
space group = No. 216

Structure (Quantum ESPRESSO input):
```
&SYSTEM
  ibrav = 0, nat = 6, ntyp = 3
/
ATOMIC_SPECIES
Mg 24.30 Mg.upf
Gd 157.25 Gd.upf
Na 22.99 Na.upf
CELL_PARAMETERS angstrom
6.112 0.000 0.000
3.056 5.293 0.000
3.056 1.764 4.990
ATOMIC_POSITIONS crystal
Mg 0.624 0.624 0.127
Gd 0.250 0.250 0.250
Mg 0.624 0.624 0.624
Na 0.000 0.000 0.000
Mg 0.127 0.624 0.624
Mg 0.624 0.127 0.624
```

---

[14]
This record from Alexandria describes a geometry-optimized Gd2MgNb structure. The functional is PBE. Values from VASP.

Computed properties:
final energy = -39.24 eV per cell
crystal system = tetragonal
space group = No. 123

Structure (Quantum ESPRESSO input):
```
&SYSTEM
  ibrav = 0, nat = 4, ntyp = 3
/
ATOMIC_SPECIES
Gd 157.25 Gd.upf
Mg 24.30 Mg.upf
Nb 92.91 Nb.upf
CELL_PARAMETERS angstrom
-0.229 -2.543 -2.049
2.281 1.345 -1.925
6.877 -4.598 4.938
ATOMIC_POSITIONS crystal
Gd 0.000 0.000 0.230
Mg 0.500 0.500 0.500
Nb 0.500 0.500 0.000
Gd 0.000 0.000 0.770
```

---

[15]
This record from Alexandria describes a geometry-optimized GdMg2Nb structure. The functional is PBE. Values from VASP.

Computed properties:
final energy = -26.20 eV per cell
crystal system = cubic
space group = No. 225

Structure (Quantum ESPRESSO input):
```
&SYSTEM
  ibrav = 0, nat = 4, ntyp = 3
/
ATOMIC_SPECIES
Mg 24.30 Mg.upf
Gd 157.25 Gd.upf
Nb 92.91 Nb.upf
CELL_PARAMETERS angstrom
5.034 0.000 0.000
2.517 4.359 0.000
2.517 1.453 4.111
ATOMIC_POSITIONS crystal
Mg 0.750 0.750 0.750
Gd 0.500 0.500 0.500
Mg 0.250 0.250 0.250
Nb 0.000 0.000 0.000
```

---

[16]
This record from Alexandria describes a geometry-optimized Gd2MgNb structure. The functional is PBE. Values from VASP.

Computed properties:
final energy = -38.38 eV per cell
crystal system = trigonal
space group = No. 166

Structure (Quantum ESPRESSO input):
```
&SYSTEM
  ibrav = 0, nat = 4, ntyp = 3
/
ATOMIC_SPECIES
Mg 24.30 Mg.upf
Gd 157.25 Gd.upf
Nb 92.91 Nb.upf
CELL_PARAMETERS angstrom
-3.032 -0.229 1.217
-0.455 -1.000 3.086
-0.526 10.570 5.087
ATOMIC_POSITIONS crystal
Mg 0.000 0.000 0.000
Gd 0.095 0.095 0.716
Nb 0.500 0.500 0.500
Gd 0.905 0.905 0.284
```

---

[17]
This record from Alexandria describes a geometry-optimized NdGdMg structure. The functional is PBE. Values from VASP.

Computed properties:
final energy = -20.63 eV per cell
crystal system = tetragonal
space group = No. 107

Structure (Quantum ESPRESSO input):
```
&SYSTEM
  ibrav = 0, nat = 3, ntyp = 3
/
ATOMIC_SPECIES
Mg 24.30 Mg.upf
Gd 157.25 Gd.upf
Nd 144.24 Nd.upf
CELL_PARAMETERS angstrom
3.764 0.000 0.000
0.000 3.764 0.000
-1.882 -1.882 6.476
ATOMIC_POSITIONS crystal
Mg 0.948 0.948 0.896
Gd 0.293 0.293 0.587
Nd 0.609 0.609 0.217
```

---

[18]
This record from Alexandria describes a geometry-optimized NdGdMg structure. The functional is PBE. Values from VASP.

Computed properties:
final energy = -20.37 eV per cell
crystal system = trigonal
space group = No. 156

Structure (Quantum ESPRESSO input):
```
&SYSTEM
  ibrav = 0, nat = 3, ntyp = 3
/
ATOMIC_SPECIES
Mg 24.30 Mg.upf
Gd 157.25 Gd.upf
Nd 144.24 Nd.upf
CELL_PARAMETERS angstrom
3.444 0.000 0.000
0.000 5.523 0.000
0.000 -2.761 4.783
ATOMIC_POSITIONS crystal
Mg 0.679 0.667 0.333
Gd 0.950 0.000 0.000
Nd 0.371 0.333 0.667
```

---

[19]
This record from Alexandria describes a geometry-optimized NdGdMgPa structure. The functional is PBE. Values from VASP.

Computed properties:
final energy = -28.60 eV per cell
crystal system = cubic
space group = No. 216

Structure (Quantum ESPRESSO input):
```
&SYSTEM
  ibrav = 0, nat = 4, ntyp = 4
/
ATOMIC_SPECIES
Pa 231.04 Pa.upf
Gd 157.25 Gd.upf
Nd 144.24 Nd.upf
Mg 24.30 Mg.upf
CELL_PARAMETERS angstrom
-0.593 5.056 -1.956
-4.410 1.287 -2.938
-3.801 3.304 2.091
ATOMIC_POSITIONS crystal
Pa 0.500 0.500 0.500
Gd 0.250 0.250 0.250
Nd 0.750 0.750 0.750
Mg 0.000 0.000 0.000
```

---

[20]
This record from Alexandria describes a geometry-optimized NdGdMgPt structure. The functional is PBE. Values from VASP.

Computed properties:
final energy = -28.61 eV per cell
crystal system = cubic
space group = No. 216

Structure (Quantum ESPRESSO input):
```
&SYSTEM
  ibrav = 0, nat = 4, ntyp = 4
/
ATOMIC_SPECIES
Pt 195.08 Pt.upf
Nd 144.24 Nd.upf
Gd 157.25 Gd.upf
Mg 24.30 Mg.upf
CELL_PARAMETERS angstrom
-0.535 -2.093 -4.722
2.258 -4.545 -1.096
-2.906 -4.256 -0.639
ATOMIC_POSITIONS crystal
Pt 0.500 0.500 0.500
Nd 0.250 0.250 0.250
Gd 0.750 0.750 0.750
Mg 0.000 0.000 0.000
```